#P
The following is a PBE calculation of a relaxed structure of Sb3MoI, from Alexandria.

Geometry as POSCAR:
```
Sb3MoI
1.0
-4.082 -1.543 -2.964
3.174 -3.253 -2.679
-1.044 -3.856 3.445
I Sb Mo
1 3 1
Direct
0.500 0.500 0.500
0.000 0.500 0.000
0.000 0.000 0.500
0.500 0.000 0.000
0.000 0.000 0.000
```

Density of states at the Fermi level (states/eV per cell): 4.0
Total magnetic moment (Bohr magnetons per cell): 0.00
Density (g/cm³): 6.7

=====

#Q
The following is a PBE calculation of a relaxed structure of Sb3MoI, from Alexandria.

Geometry as POSCAR:
```
Sb3MoI
1.0
-3.356 -4.059 -2.155
3.882 -3.932 1.359
-2.459 -0.669 5.088
I Sb Mo
1 3 1
Direct
0.000 0.000 0.000
0.000 0.500 0.000
0.000 0.000 0.500
0.500 0.000 0.000
0.500 0.500 0.500
```

Density of states at the Fermi level (states/eV per cell): 3.4
Total magnetic moment (Bohr magnetons per cell): 3.02
Density (g/cm³): 5.3

=====

Which structure loses on stability? #Q does.

=====

#P
The following is a PBE calculation of a relaxed structure of SrSb2MoI, from Alexandria.

Geometry as POSCAR:
```
SrSb2MoI
1.0
6.165 0.000 0.000
0.000 6.165 0.000
0.000 0.000 6.087
I Sb Mo Sr
1 2 1 1
Direct
0.000 0.000 0.500
0.000 0.500 0.000
0.500 0.000 0.000
0.500 0.500 0.500
0.000 0.000 0.000
```

Density of states at the Fermi level (states/eV per cell): 5.6
Total magnetic moment (Bohr magnetons per cell): 3.25
Density (g/cm³): 4.0

=====

#Q
The following is a PBE calculation of a relaxed structure of SrSb2MoI, from Alexandria.

Geometry as POSCAR:
```
SrSb2MoI
1.0
5.213 0.000 0.000
0.000 5.213 0.000
0.000 0.000 6.031
I Sb Mo Sr
1 2 1 1
Direct
0.000 0.000 0.500
0.000 0.500 0.000
0.500 0.000 0.000
0.000 0.000 0.000
0.500 0.500 0.500
```

Density of states at the Fermi level (states/eV per cell): 4.2
Total magnetic moment (Bohr magnetons per cell): 0.25
Density (g/cm³): 5.6

=====

Which structure loses on stability? #P does.